Run one
A plane-wave DFT calculation with PBE was carried out for BaY2Mo2 after structural relaxation.

Its crystal system is tetragonal.

The space group is P4/mbm (No. 127) and the conventional cell measures 8.881, 8.881 and 3.447 Å, with angles of 90.00, 90.00 and 90.00 degrees. The asymmetric unit holds Ba at (0.000, 0.000, 0.000), Y at (0.185, 0.315, 0.000) and Mo at (0.090, 0.590, 0.500).

Run two
A plane-wave DFT calculation with PBE was carried out for BaY2Mo2 after structural relaxation.

Its crystal system is tetragonal.

The space group is I4/mmm (No. 139) and the conventional cell measures 3.672, 3.672 and 23.444 Å, with angles of 90.00, 90.00 and 90.00 degrees. The asymmetric unit holds Ba at (0.000, 0.000, 0.000), Y at (0.000, 0.000, 0.356) and Mo at (0.000, 0.500, 0.250).

Most favorable structure: run two. The second most favorable one is 0.110 eV/atom above it.

Run one
A plane-wave DFT calculation with PBE was carried out for BaZnMo3 after structural relaxation.

Its crystal system is cubic.

The space group is Pm-3m (No. 221) and the conventional cell measures 4.848, 4.848 and 4.848 Å, with angles of 90.00, 90.00 and 90.00 degrees. The asymmetric unit holds Ba at (0.000, 0.000, 0.000), Zn at (0.500, 0.500, 0.500) and Mo at (0.000, 0.500, 0.500).

Run two
A plane-wave DFT calculation with PBE was carried out for BaZnMo3 after structural relaxation.

Its crystal system is cubic.

The space group is Pm-3m (No. 221) and the conventional cell measures 4.981, 4.981 and 4.981 Å, with angles of 90.00, 90.00 and 90.00 degrees. The asymmetric unit holds Ba at (0.000, 0.000, 0.000), Zn at (0.500, 0.500, 0.500) and Mo at (0.000, 0.000, 0.500).

Most favorable structure: run one. The second most favorable one is 1.336 eV/atom above it.

Run one
A plane-wave DFT calculation with PBE was carried out for BaZn3Mo after structural relaxation.

Its crystal system is cubic.

The space group is Pm-3m (No. 221) and the conventional cell measures 5.035, 5.035 and 5.035 Å, with angles of 90.00, 90.00 and 90.00 degrees. The asymmetric unit holds Ba at (0.000, 0.000, 0.000), Zn at (0.000, 0.500, 0.500) and Mo at (0.500, 0.500, 0.500).

Run two
A plane-wave DFT calculation with PBE was carried out for BaZn3Mo after structural relaxation.

Its crystal system is cubic.

The space group is Pm-3m (No. 221) and the conventional cell measures 5.946, 5.946 and 5.946 Å, with angles of 90.00, 90.00 and 90.00 degrees. The asymmetric unit holds Ba at (0.000, 0.000, 0.000), Zn at (0.000, 0.000, 0.500) and Mo at (0.500, 0.500, 0.500).

Most favorable structure: run one. The second most favorable one is 1.397 eV/atom above it.

Run one
A plane-wave DFT calculation with PBE was carried out for BaZrMo2 after structural relaxation.

Its crystal system is monoclinic.

The space group is Pm (No. 6) and the conventional cell measures 3.158, 4.193 and 7.735 Å, with angles of 90.00, 91.70 and 90.00 degrees. The asymmetric unit holds Ba at (0.000, 0.000, 0.000), Zr at (0.074, 0.500, 0.626), Mo at (0.349, 0.500, 0.316) and Mo at (0.673, 0.000, 0.441).

Run two
A plane-wave DFT calculation with PBE was carried out for BaZrMo2 after structural relaxation.

Its crystal system is orthorhombic.

The space group is Imm2 (No. 44) and the conventional cell measures 3.489, 4.799 and 13.385 Å, with angles of 90.00, 90.00 and 90.00 degrees. The asymmetric unit holds Ba at (0.000, 0.000, 0.000), Zr at (0.000, 0.500, 0.237), Mo at (0.000, 0.000, 0.354) and Mo at (0.000, 0.500, 0.728).

Most favorable structure: run one. The second most favorable one is 0.089 eV/atom above it.

Run one
A plane-wave DFT calculation with PBE was carried out for BaZrMo2 after structural relaxation.

Its crystal system is orthorhombic.

The space group is Immm (No. 71) and the conventional cell measures 3.354, 5.219 and 9.655 Å, with angles of 90.00, 90.00 and 90.00 degrees. The asymmetric unit holds Ba at (0.000, 0.000, 0.000), Zr at (0.000, 0.000, 0.500) and Mo at (0.000, 0.500, 0.243).

Run two
A plane-wave DFT calculation with PBE was carried out for BaZrMo2 after structural relaxation.

Its crystal system is monoclinic.

The space group is C2/m (No. 12) and the conventional cell measures 9.945, 3.341 and 6.761 Å, with angles of 90.00, 94.14 and 90.00 degrees. The asymmetric unit holds Ba at (0.000, 0.000, 0.000), Zr at (0.000, 0.500, 0.500) and Mo at (0.243, 0.000, 0.630).

Run three
A plane-wave DFT calculation with PBE was carried out for BaZrMo2 after structural relaxation.

Its crystal system is tetragonal.

The space group is P4mm (No. 99) and the conventional cell measures 3.280, 3.280 and 8.948 Å, with angles of 90.00, 90.00 and 90.00 degrees. The asymmetric unit holds Ba at (0.000, 0.000, 0.000), Zr at (0.500, 0.500, 0.635), Mo at (0.000, 0.000, 0.442) and Mo at (0.500, 0.500, 0.294).

Most favorable structure: run three. The second most favorable one is 0.258 eV/atom above it.

Run one
A plane-wave DFT calculation with PBE was carried out for BaZrMo2 after structural relaxation.

Its crystal system is tetragonal.

The space group is P4/mmm (No. 123) and the conventional cell measures 3.773, 3.773 and 7.371 Å, with angles of 90.00, 90.00 and 90.00 degrees. The asymmetric unit holds Ba at (0.000, 0.000, 0.000), Zr at (0.000, 0.000, 0.500) and Mo at (0.500, 0.500, 0.345).

Run two
A plane-wave DFT calculation with PBE was carried out for BaZrMo2 after structural relaxation.

Its crystal system is monoclinic.

The space group is C2/m (No. 12) and the conventional cell measures 6.295, 9.542 and 3.016 Å, with angles of 90.00, 111.03 and 90.00 degrees. The asymmetric unit holds Ba at (0.000, 0.000, 0.000), Zr at (0.000, 0.500, 0.000) and Mo at (0.250, 0.250, 0.500).

Run three
A plane-wave DFT calculation with PBE was carried out for BaZrMo2 after structural relaxation.

Its crystal system is orthorhombic.

The space group is Cmmm (No. 65) and the conventional cell measures 3.491, 4.980 and 10.099 Å, with angles of 90.00, 90.00 and 90.00 degrees. The asymmetric unit holds Ba at (0.000, 0.000, 0.000), Zr at (0.000, 0.000, 0.500) and Mo at (0.000, 0.500, 0.284).

Run four
A plane-wave DFT calculation with PBE was carried out for BaZrMo2 after structural relaxation.

Its crystal system is orthorhombic.

The space group is Pmmm (No. 47) and the conventional cell measures 3.366, 4.743 and 5.231 Å, with angles of 90.00, 90.00 and 90.00 degrees. The asymmetric unit holds Ba at (0.000, 0.000, 0.000), Zr at (0.500, 0.000, 0.500), Mo at (0.000, 0.500, 0.500) and Mo at (0.500, 0.500, 0.000).

Most favorable structure: run one. The second most favorable one is 0.264 eV/atom above it.

Run one
A plane-wave DFT calculation with PBE was carried out for BaZrMo2 after structural relaxation.

Its crystal system is tetragonal.

The space group is P4/mmm (No. 123) and the conventional cell measures 4.978, 4.978 and 3.406 Å, with angles of 90.00, 90.00 and 90.00 degrees. The asymmetric unit holds Ba at (0.000, 0.000, 0.000), Zr at (0.500, 0.500, 0.000) and Mo at (0.000, 0.500, 0.500).

Run two
A plane-wave DFT calculation with PBE was carried out for BaZrMo2 after structural relaxation.

Its crystal system is cubic.

The space group is F-43m (No. 216) and the conventional cell measures 6.976, 6.976 and 6.976 Å, with angles of 90.00, 90.00 and 90.00 degrees. The asymmetric unit holds Ba at (0.000, 0.000, 0.000), Zr at (0.250, 0.250, 0.250), Mo at (0.000, 0.000, 0.500) and Mo at (0.250, 0.250, 0.750).

Run three
A plane-wave DFT calculation with PBE was carried out for BaZrMo2 after structural relaxation.

Its crystal system is trigonal.

The space group is R-3m (No. 166, hexagonal axes) and the conventional cell measures 3.2609, 3.2609 and 29.2974 Å, with angles of 90.00, 90.00 and 120.00 degrees. The asymmetric unit holds Ba at (0.0000, 0.0000, 0.0000), Zr at (0.0000, 0.0000, 0.5000) and Mo at (0.0000, 0.0000, 0.2375).

Run four
A plane-wave DFT calculation with PBE was carried out for BaZrMo2 after structural relaxation.

Its crystal system is monoclinic.

The space group is P2/m (No. 10) and the conventional cell measures 3.226, 4.451 and 7.268 Å, with angles of 90.00, 90.21 and 90.00 degrees. The asymmetric unit holds Ba at (0.000, 0.000, 0.000), Zr at (0.500, 0.000, 0.500) and Mo at (0.001, 0.500, 0.654).

Most favorable structure: run four. The second most favorable one is 0.356 eV/atom above it.

Run one
A plane-wave DFT calculation with PBE was carried out for BaZr3Mo after structural relaxation.

Its crystal system is cubic.

The space group is Pm-3m (No. 221) and the conventional cell measures 5.177, 5.177 and 5.177 Å, with angles of 90.00, 90.00 and 90.00 degrees. The asymmetric unit holds Ba at (0.000, 0.000, 0.000), Zr at (0.000, 0.000, 0.500) and Mo at (0.500, 0.500, 0.500).

Run two
A plane-wave DFT calculation with PBE was carried out for BaZr3Mo after structural relaxation.

Its crystal system is cubic.

The space group is Pm-3m (No. 221) and the conventional cell measures 5.263, 5.263 and 5.263 Å, with angles of 90.00, 90.00 and 90.00 degrees. The asymmetric unit holds Ba at (0.000, 0.000, 0.000), Zr at (0.000, 0.500, 0.500) and Mo at (0.500, 0.500, 0.500).

Most favorable structure: run two. The second most favorable one is 1.725 eV/atom above it.

Run one
A plane-wave DFT calculation with PBE was carried out for Ba2Zr2Mo after structural relaxation.

Its crystal system is tetragonal.

The space group is P4/mbm (No. 127) and the conventional cell measures 7.049, 7.049 and 6.344 Å, with angles of 90.00, 90.00 and 90.00 degrees. The asymmetric unit holds Ba at (0.179, 0.321, 0.000), Zr at (0.168, 0.668, 0.500) and Mo at (0.000, 0.000, 0.500).

Run two
A plane-wave DFT calculation with PBE was carried out for Ba2Zr2Mo after structural relaxation.

Its crystal system is tetragonal.

The space group is I4/mmm (No. 139) and the conventional cell measures 4.177, 4.177 and 17.129 Å, with angles of 90.00, 90.00 and 90.00 degrees. The asymmetric unit holds Ba at (0.000, 0.500, 0.250), Zr at (0.000, 0.000, 0.075) and Mo at (0.000, 0.000, 0.500).

Most favorable structure: run one. The second most favorable one is 0.720 eV/atom above it.

Run one
A plane-wave DFT calculation with PBE was carried out for Ba3Na2N after structural relaxation.

Its crystal system is monoclinic.

The space group is C2/c (No. 15) and the conventional cell measures 12.963, 10.696 and 7.655 Å, with angles of 90.00, 90.01 and 90.00 degrees. The asymmetric unit holds Ba at (0.000, 0.190, 0.250), Ba at (0.136, 0.496, 0.503), Na at (0.134, 0.171, 0.756) and N at (0.000, 0.429, 0.250).

Run two
A plane-wave DFT calculation with PBE was carried out for Ba3Na2N after structural relaxation.

Its crystal system is monoclinic.

The space group is C2/m (No. 12) and the conventional cell measures 7.635, 13.186 and 10.212 Å, with angles of 90.00, 103.56 and 90.00 degrees. The asymmetric unit holds Ba at (0.135, 0.000, 0.161), Ba at (0.244, 0.208, 0.832), Na at (0.000, 0.000, 0.500), Na at (0.000, 0.366, 0.500), Na at (0.000, 0.500, 0.000) and N at (0.000, 0.171, 0.000).

Most favorable structure: run one. The second most favorable one is 0.111 eV/atom above it.

Run one
A plane-wave DFT calculation with PBE was carried out for Ba4Na3N2 after structural relaxation.

Its crystal system is triclinic.

The space group is P-1 (No. 2) and the conventional cell measures 6.997, 8.436 and 11.709 Å, with angles of 110.73, 97.26 and 92.16 degrees. The asymmetric unit holds Ba at (0.045, 0.312, 0.358), Ba at (0.049, 0.809, 0.366), Ba at (0.451, 0.436, 0.635), Ba at (0.454, 0.944, 0.641), Na at (0.096, 0.856, 0.037), Na at (0.246, 0.496, 0.983), Na at (0.415, 0.178, 0.026), N at (0.248, 0.624, 0.501) and N at (0.253, 0.124, 0.499).

Run two
A plane-wave DFT calculation with PBE was carried out for Ba4Na3N2 after structural relaxation.

Its crystal system is monoclinic.

The space group is C2/m (No. 12) and the conventional cell measures 14.469, 4.716 and 11.136 Å, with angles of 90.00, 106.97 and 90.00 degrees. The asymmetric unit holds Ba at (0.146, 0.000, 0.455), Ba at (0.233, 0.500, 0.169), Na at (0.000, 0.000, 0.000), Na at (0.002, 0.500, 0.238) and N at (0.185, 0.500, 0.360).

Most favorable structure: run one. The second most favorable one is 0.067 eV/atom above it.